Entry from Alexandria via LeMat-Bulk: a relaxed structure of BaNa2Rh (GGA-PBE).

Properties
energy relative to the elements = 0.287 eV per atom
electronic total energy = -43.0 eV per cell

a b c (Å): 7.534 7.534 7.534
angles (deg): 90.00 90.00 90.00
Sites, in units of the cell vectors:
1 Ba 0.000 0.000 0.000
2 Ba 0.000 0.500 0.500
3 Ba 0.500 0.000 0.500
4 Ba 0.500 0.500 0.000
5 Na 0.250 0.250 0.250
6 Na 0.250 0.250 0.750
7 Na 0.250 0.750 0.250
8 Na 0.250 0.750 0.750
9 Na 0.750 0.250 0.250
10 Na 0.750 0.250 0.750
11 Na 0.750 0.750 0.250
12 Na 0.750 0.750 0.750
13 Rh 0.000 0.000 0.500
14 Rh 0.000 0.500 0.000
15 Rh 0.500 0.000 0.000
16 Rh 0.500 0.500 0.500